Tb2HfIn | PBE-GGA | optimized geometry

Cell lengths 4.7113, 4.6858, 4.6858 Å; angles 90.00, 90.00, 90.00 degrees
Fractional coordinates of all 4 atoms:
Tb  0.0000  0.0000  0.5000
Tb  0.0000  0.5000  0.0000
Hf  0.5000  0.5000  0.5000
In  0.5000  0.0000  0.0000

Results
Calculated volume: 25.86 Å³/atom
Energy relative to the lowest polymorph listed for this composition: 14 meV per atom
Energy of formation from the pure elements: -0.133 eV per atom
Total energy: -0.2066 Ha/atom
Size of the total moment: 0.000 μB/f.u.
Space group: P4/mmm, No. 123